Record 1
VASP calculation (PBE) on an optimized crystal structure of OsRu2PbO8.

Cell: 4.7278 4.7278 6.4535 Å, 90.00 90.00 90.95°
Last column: nearest neighbours and their distance in Å.
Atoms (fractional coordinates):
Os: 0.0000 0.0000 0.0000  6 O 1.94-1.98
Ru: 0.5000 0.5000 0.2411  6 O 1.97-2.09
Ru: 0.5000 0.5000 0.7589  6 O 1.97-2.09
Pb: 0.0000 0.0000 0.5000  6 O 2.24-2.28
O: 0.2041 0.2041 0.2160  1 Os 1.94, 1 Ru 1.97
O: 0.2041 0.2041 0.7840  1 Os 1.94, 1 Ru 1.97
O: 0.2933 0.7067 0.0000  1 Os 1.98, 2 Ru 2.09
O: 0.3320 0.6680 0.5000  2 Ru 2.02, 1 Pb 2.24
O: 0.6680 0.3320 0.5000  2 Ru 2.02, 1 Pb 2.24
O: 0.7067 0.2933 0.0000  1 Os 1.98, 2 Ru 2.09
O: 0.7959 0.7959 0.2160  1 Os 1.94, 1 Ru 1.97
O: 0.7959 0.7959 0.7840  1 Os 1.94, 1 Ru 1.97

**DOS(E_F)**: 0.59 states/eV/atom
**Formation energy without anion corrections**: -0.9314 eV per atom
**Space group**: Cmmm, No. 65
**Volume**: 12.02 A^3/atom
**Final energy**: -7.028 eV/atom

Record 2
VASP calculation (PBE) on an optimized crystal structure of OsPb2SO.

Cell: 5.3702 5.3702 4.3132 Å, 90.00 90.00 90.00°
Last column: nearest neighbours and their distance in Å.
Atoms (fractional coordinates):
Os: 0.0000 0.0000 0.0000  2 S 2.16
Pb: 0.0000 0.5000 0.0000  2 Os 2.69
Pb: 0.5000 0.0000 0.0000  2 Os 2.69
S: 0.0000 0.0000 0.5000  2 Os 2.16
O: 0.5000 0.5000 0.5000  8 Pb 3.44, 4 S 3.80

**DOS(E_F)**: 0.36 states/eV/atom
**Formation energy without anion corrections**: 0.3949 eV per atom
**Space group**: P4/mmm, No. 123
**Volume**: 24.88 A^3/atom
**Final energy**: -5.151 eV/atom

Record 3
VASP calculation (PBE) on an optimized crystal structure of ScOs2PbO8.

Cell: 5.8951 5.8951 6.9445 Å, 90.00 90.00 120.00°
Last column: nearest neighbours and their distance in Å.
Atoms (fractional coordinates):
Sc: 0.0000 0.0000 0.0000  6 O 2.11
Os: 0.3333 0.6667 0.2582  4 O 1.80-1.83
Os: 0.6667 0.3333 0.7418  4 O 1.80-1.83
Pb: 0.0000 0.0000 0.5000  6 O 2.68
O: 0.1574 0.8388 0.1927  1 Os 1.83
O: 0.1612 0.3186 0.1927  1 Os 1.83
O: 0.3186 0.1574 0.8073  1 Os 1.83
O: 0.3333 0.6667 0.5168  1 Os 1.80
O: 0.6667 0.3333 0.4832  1 Os 1.80
O: 0.6814 0.8426 0.1927  1 Os 1.83
O: 0.8388 0.6814 0.8073  1 Os 1.83
O: 0.8426 0.1612 0.8073  1 Os 1.83

**DOS(E_F)**: 0.43 states/eV/atom
**Formation energy without anion corrections**: -1.2872 eV per atom
**Space group**: P-3, No. 147
**Volume**: 17.42 A^3/atom
**Final energy**: -7.301 eV/atom

Record 4
VASP calculation (PBE) on an optimized crystal structure of Sc6OsPb2O.

Cell: 6.7437 6.7437 6.7437 Å, 119.96 119.96 90.06°
Last column: nearest neighbours and their distance in Å.
Atoms (fractional coordinates):
Sc: 0.2375 0.2375 0.0000  1 O 2.26, 1 Os 2.50
Sc: 0.2378 0.2378 0.4757  1 O 2.27, 1 Os 2.50
Sc: 0.2378 0.7622 0.0000  1 O 2.27, 1 Os 2.50
Sc: 0.7622 0.2378 0.0000  1 O 2.27, 1 Os 2.50
Sc: 0.7622 0.7622 0.5243  1 O 2.27, 1 Os 2.50
Sc: 0.7625 0.7625 0.0000  1 O 2.26, 1 Os 2.50
Os: 0.5000 0.5000 0.0000  6 Sc 2.50
Pb: 0.2500 0.7500 0.5000  12 Sc 3.37-3.38
Pb: 0.7500 0.2500 0.5000  12 Sc 3.37-3.38
O: 0.0000 0.0000 0.0000  6 Sc 2.26-2.27

**DOS(E_F)**: 0.96 states/eV/atom
**Formation energy without anion corrections**: -0.7705 eV per atom
**Space group**: I4/mmm, No. 139
**Volume**: 21.70 A^3/atom
**Final energy**: -6.930 eV/atom

Record 5
VASP calculation (PBE) on an optimized crystal structure of ScOsPb2O8.

Cell: 4.9597 6.6683 4.9609 Å, 90.00 90.31 90.00°
Last column: nearest neighbours and their distance in Å.
Atoms (fractional coordinates):
Sc: 0.0000 0.0000 0.0000  6 O 2.06-2.21
Os: 0.0000 0.5000 0.0000  6 O 1.87-1.98
Pb: 0.5000 0.2477 0.5000  6 O 2.19-2.34
Pb: 0.5000 0.7523 0.5000  6 O 2.19-2.34
O: 0.1800 0.2713 0.8214  1 Os 1.98, 1 Sc 2.21
O: 0.1800 0.7287 0.8214  1 Os 1.98, 1 Sc 2.21
O: 0.2670 0.5000 0.2688  1 Os 1.87
O: 0.2939 0.0000 0.2953  1 Sc 2.06, 2 Pb 2.19
O: 0.7061 0.0000 0.7047  1 Sc 2.06, 2 Pb 2.19
O: 0.7330 0.5000 0.7312  1 Os 1.87
O: 0.8200 0.2713 0.1786  1 Os 1.98, 1 Sc 2.21
O: 0.8200 0.7287 0.1786  1 Os 1.98, 1 Sc 2.21

**DOS(E_F)**: 0.24 states/eV/atom
**Formation energy without anion corrections**: -1.4059 eV per atom
**Space group**: P2/m, No. 10
**Volume**: 13.67 A^3/atom
**Final energy**: -6.793 eV/atom

Record 6
VASP calculation (PBE) on an optimized crystal structure of Sm2OsPbO8.

Cell: 5.1118 5.1118 6.9628 Å, 90.00 90.00 90.55°
Last column: nearest neighbours and their distance in Å.
Atoms (fractional coordinates):
Sm: 0.0006 0.0006 0.2495  6 O 2.22-2.46
Sm: 0.9994 0.9994 0.7505  6 O 2.22-2.46
Os: 0.5000 0.5000 0.5000  6 O 1.86-1.95
Pb: 0.5000 0.5000 0.0000  6 O 2.22-2.41
O: 0.1919 0.1919 0.9996  1 Pb 2.22, 2 Sm 2.22
O: 0.2416 0.2416 0.5004  1 Os 1.86
O: 0.3212 0.6789 0.2919  1 Os 1.95
O: 0.3211 0.6788 0.7081  1 Os 1.95
O: 0.6789 0.3212 0.2919  1 Os 1.95
O: 0.6788 0.3211 0.7081  1 Os 1.95
O: 0.7584 0.7584 0.4996  1 Os 1.86
O: 0.8081 0.8081 0.0004  1 Pb 2.22, 2 Sm 2.22

**DOS(E_F)**: 0.10 states/eV/atom
**Formation energy without anion corrections**: -1.9702 eV per atom
**Space group**: C2/m, No. 12
**Volume**: 15.16 A^3/atom
**Final energy**: -7.307 eV/atom

Record 7
VASP calculation (PBE) on an optimized crystal structure of SnOsPbO6.

Cell: 7.4491 7.4491 7.4491 Å, 121.69 121.55 87.22°
Last column: nearest neighbours and their distance in Å.
Atoms (fractional coordinates):
Sn: 0.0000 0.0000 0.0000  6 O 2.02-2.10
Sn: 0.5000 0.0000 0.5000  6 O 2.02-2.10
Os: 0.5000 0.0000 0.0000  6 O 1.88-1.94
Os: 0.5000 0.5000 0.5000  6 O 1.88-1.94
Pb: 0.0386 0.2886 0.7500  1 O 2.24
Pb: 0.9614 0.7114 0.2500  1 O 2.24
O: 0.1694 0.9194 0.2500  2 Sn 2.02, 1 Pb 2.24
O: 0.1865 0.3368 0.2548  1 Os 1.94, 1 Sn 2.10
O: 0.1865 0.9316 0.8497  1 Os 1.94, 1 Sn 2.10
O: 0.4181 0.0684 0.7548  1 Os 1.94, 1 Sn 2.10
O: 0.4181 0.6632 0.3497  1 Os 1.94, 1 Sn 2.10
O: 0.4534 0.7034 0.7500  2 Os 1.88
O: 0.5466 0.2966 0.2500  2 Os 1.88
O: 0.5819 0.3368 0.6503  1 Os 1.94, 1 Sn 2.10
O: 0.5819 0.9316 0.2452  1 Os 1.94, 1 Sn 2.10
O: 0.8135 0.0684 0.1503  1 Os 1.94, 1 Sn 2.10
O: 0.8135 0.6632 0.7452  1 Os 1.94, 1 Sn 2.10
O: 0.8306 0.0806 0.7500  2 Sn 2.02, 1 Pb 2.24

**DOS(E_F)**: 0.35 states/eV/atom
**Formation energy without anion corrections**: -1.0794 eV per atom
**Space group**: Imma, No. 74
**Volume**: 15.82 A^3/atom
**Final energy**: -6.489 eV/atom

Record 8
VASP calculation (PBE) on an optimized crystal structure of SrOsPbO6.

Cell: 5.8493 5.8493 4.9312 Å, 90.03 90.03 120.12°
Last column: nearest neighbours and their distance in Å.
Atoms (fractional coordinates):
Sr: 0.0000 0.0000 0.0000  6 O 2.44
Os: 0.6669 0.3331 0.0000  6 O 1.88
Pb: 0.3328 0.6672 0.5000  6 O 2.57-2.58
O: 0.4033 0.0668 0.7816  1 Os 1.88
O: 0.4045 0.3355 0.2185  1 Os 1.88
O: 0.6644 0.0677 0.2184  1 Os 1.88
O: 0.6645 0.5955 0.7815  1 Os 1.88
O: 0.9323 0.3356 0.7816  1 Os 1.88
O: 0.9332 0.5967 0.2184  1 Os 1.88

**Formation energy without anion corrections**: -1.3948 eV per atom
**Space group**: C2, No. 5
**Volume**: 16.22 A^3/atom
**Final energy**: -6.547 eV/atom